(1)
DFT (GGA-PBEsol) results for a relaxed MgAgHg2 crystal.

Lattice parameters (Å, degrees): 4.7943 4.7943 4.7943 60.00 60.00 60.00
Last column: nearest neighbours and their distance in Å.
Fractional coordinates of all 4 atoms:
Hg 0.7500 0.7500 0.7500  4 Hg 2.94, 4 Ag 2.94
Hg 0.0000 0.0000 0.0000  4 Hg 2.94, 4 Mg 2.94
Mg 0.2500 0.2500 0.2500  4 Ag 2.94, 4 Hg 2.94
Ag 0.5000 0.5000 0.5000  4 Hg 2.94, 4 Mg 2.94



(2)
DFT (GGA-PBEsol) results for a relaxed MgAg2Hg crystal.

Lattice parameters (Å, degrees): 3.4492 3.4492 6.1093 90.00 90.00 90.00
Last column: nearest neighbours and their distance in Å.
Fractional coordinates of all 4 atoms:
Ag 0.0000 0.0000 0.0008  4 Ag 2.84, 4 Mg 2.84, 2 Hg 3.04-3.07
Ag 0.5000 0.5000 0.2381  4 Ag 2.84, 1 Mg 2.90, 4 Hg 2.91
Mg 0.5000 0.5000 0.7628  5 Ag 2.84-2.90, 4 Hg 2.93
Hg 0.0000 0.0000 0.4983  6 Ag 2.91-3.07, 4 Mg 2.93



The evaluated energy of formation from the pure elements for the records listed, in turn: -0.116, -0.156 eV per atom.
The evaluated total magnetic moment for the records listed, in turn: 0.00, 0.00 μB/f.u..